1.
4
Lattice="3.683 0.000 0.000 1.842 3.190 0.000 1.842 1.063 13.478" Properties=species:S:1:pos:R:3 comment="PBE-GGA RbTbPm2, relaxed" final_energy_ev_per_atom=-3.52 formation_energy_ev_per_atom=0.25 m_tot_mub_per_cell=0.0 pbc="T T T"
Tb 3.683 2.126 6.739
Rb 0.000 0.000 0.000
Pm 1.842 1.063 9.590
Pm 5.525 3.190 3.888



2.
12
Lattice="7.961 -0.002 0.000 -3.980 6.895 0.000 -1.327 -2.298 8.565" Properties=species:S:1:pos:R:3 comment="PBE-GGA Rb3TbPm2Te6, relaxed" e_form_raw_ev_per_atom=-1.401 final_energy_ev_per_atom=-4.39 m_tot_mub_per_cell=0.0 pbc="T T T"
Rb -2.636 4.587 4.283
Rb 5.290 0.009 4.283
Rb 1.327 2.298 4.283
Tb 0.000 0.000 0.000
Pm 0.003 4.594 0.000
Pm 3.978 2.299 0.000
Te 3.962 2.330 6.833
Te 2.674 4.629 1.738
Te -1.308 2.265 1.733
Te 0.038 4.596 6.833
Te -0.020 -0.034 6.828
Te 2.615 -0.001 1.733



3.
12
Lattice="4.414 0.000 0.000 0.000 9.213 0.244 -2.207 -2.742 9.486" Properties=species:S:1:pos:R:3 comment="PBE-GGA RbTb3Pm2Te6, relaxed" e_form_raw_ev_per_atom=-1.327 final_energy_ev_per_atom=-4.93 m_tot_mub_per_cell=0.0 pbc="T T T"
Rb 2.207 0.000 0.000
Tb 2.207 4.607 0.122
Tb 2.207 -0.209 6.450
Tb 0.000 6.681 3.280
Pm 2.207 4.197 6.370
Pm 0.000 2.275 3.360
Te 0.000 6.673 6.364
Te 2.207 4.534 3.232
Te 2.207 -0.202 3.366
Te 0.000 2.502 0.104
Te 2.207 3.970 9.626
Te 0.000 1.938 6.498



4.
16
Lattice="9.125 0.000 0.000 0.000 10.033 0.637 -4.562 -4.561 6.453" Properties=species:S:1:pos:R:3 comment="PBE-GGA Rb4Tb3PmTe8, relaxed" e_form_raw_ev_per_atom=-1.394 final_energy_ev_per_atom=-4.37 m_tot_mub_per_cell=0.0 pbc="T T T"
Rb 4.562 0.000 0.000
Rb 2.281 -2.281 3.226
Rb 0.000 0.000 0.000
Rb -2.281 -2.281 3.226
Tb 4.562 5.016 0.318
Tb 2.281 2.736 3.545
Tb -2.281 2.736 3.545
Pm 0.000 5.016 0.318
Te -2.251 2.633 6.676
Te 0.000 4.884 3.493
Te 0.000 0.582 3.635
Te 2.251 2.633 6.676
Te 2.311 2.838 0.413
Te 4.562 4.890 3.454
Te 4.562 0.588 3.597
Te 6.813 2.838 0.413